First-principles (PBE-GGA) data for Eu2TlRu after structural relaxation, as listed in Alexandria via LeMat-Bulk.

## Properties
The value obtained for the density is 9781 kg/m³. The formation energy comes out at -0.06 eV/atom. Its total magnetization is 13.45 μB/cell. Its space group is No. 123.

abc: 3.554 3.554 8.188
angles: 90.00 90.00 90.00
Site moments in Bohr magnetons follow the coordinates.
Fractional coordinates of all 4 atoms:
Eu 0.000 0.000 0.792  -6.77
Eu 0.000 0.000 0.208  -6.77
Ru 0.500 0.500 0.000  0.58
Tl 0.500 0.500 0.500  -0.01